No. 1
First-principles (PBE) data for a relaxed K2Ba5I12 crystal, as listed in the Alexandria database.

```
data_K2Ba5I12
_space_group_name_H-M_alt 'C 1 2/m 1'
_space_group_IT_number 12
_cell_length_a 18.528
_cell_length_b 9.999
_cell_length_c 12.053
_cell_angle_alpha 90.00
_cell_angle_beta 113.94
_cell_angle_gamma 90.00
loop_
_space_group_symop_operation_xyz
'x,y,z'
'-x,-y,-z'
'-x,y,-z'
'x,-y,z'
'x+1/2,y+1/2,z'
'-x+1/2,-y+1/2,-z'
'-x+1/2,y+1/2,-z'
'x+1/2,-y+1/2,z'
loop_
_atom_site_label
_atom_site_type_symbol
_atom_site_fract_x
_atom_site_fract_y
_atom_site_fract_z
K1 K 0.000 0.231 0.000
Ba1 Ba 0.000 0.000 0.500
Ba2 Ba 0.197 0.500 0.378
Ba3 Ba 0.221 0.500 0.948
I1 I 0.014 0.500 0.813
I2 I 0.078 0.000 0.834
I3 I 0.137 0.220 0.487
I4 I 0.203 0.272 0.151
```

Output
magnetization	0.00	Bohr magnetons per cell
energy relative to the elements, uncorrected	-3061.4	kJ/mol of formula units
DOS(E_F)	0.00	states/eV/cell

No. 2
First-principles (PBE) data for a relaxed KBaI3 crystal, as listed in the Alexandria database.

```
data_KBaI3
_space_group_name_H-M_alt 'P 1 21/m 1'
_space_group_IT_number 11
_cell_length_a 8.443
_cell_length_b 5.634
_cell_length_c 12.597
_cell_angle_alpha 90.00
_cell_angle_beta 92.20
_cell_angle_gamma 90.00
loop_
_space_group_symop_operation_xyz
'x,y,z'
'-x,-y,-z'
'-x,y+1/2,-z'
'x,-y+1/2,z'
loop_
_atom_site_label
_atom_site_type_symbol
_atom_site_fract_x
_atom_site_fract_y
_atom_site_fract_z
K1 K 0.120 0.250 0.141
Ba1 Ba 0.266 0.250 0.603
I1 I 0.024 0.750 0.611
I2 I 0.141 0.250 0.868
I3 I 0.470 0.250 0.354
```

Output
magnetization	0.00	Bohr magnetons per cell
energy relative to the elements, uncorrected	-779.1	kJ/mol of formula units
DOS(E_F)	0.00	states/eV/cell
polymorph energy (0 for the lowest one)	0.047	eV/atom

No. 3
First-principles (PBE) data for a relaxed KBa6I12 crystal, as listed in the Alexandria database.

```
data_KBa6I12
_space_group_name_H-M_alt 'R -3'
_space_group_IT_number 148
_space_group_name_Hall '-R 3'
_cell_length_a 15.7177
_cell_length_b 15.7177
_cell_length_c 13.7849
_cell_angle_alpha 90.00
_cell_angle_beta 90.00
_cell_angle_gamma 120.00
loop_
_atom_site_label
_atom_site_type_symbol
_atom_site_fract_x
_atom_site_fract_y
_atom_site_fract_z
K1 K 0.0000 0.0000 0.0000
Ba1 Ba 0.0510 0.7834 0.6460
I1 I 0.0374 0.8217 0.3890
I2 I 0.0492 0.8304 0.8925
```

Output
magnetization	0.00	Bohr magnetons per cell
energy relative to the elements, uncorrected	-3060.7	kJ/mol of formula units
DOS(E_F)	25.30	states/eV/cell

No. 4
First-principles (PBE) data for a relaxed KBaLaI6 crystal, as listed in the Alexandria database.

```
data_KBaLaI6
_space_group_name_H-M_alt 'P -3 1 c'
_space_group_IT_number 163
_space_group_name_Hall '-P 3 2c'
_cell_length_a 8.6184
_cell_length_b 8.6184
_cell_length_c 15.1357
_cell_angle_alpha 90.00
_cell_angle_beta 90.00
_cell_angle_gamma 120.00
loop_
_atom_site_label
_atom_site_type_symbol
_atom_site_fract_x
_atom_site_fract_y
_atom_site_fract_z
K1 K 0.0000 0.0000 0.0000
Ba1 Ba 0.3333 0.6667 0.2500
La1 La 0.3333 0.6667 0.7500
I1 I 0.0256 0.3699 0.6287
```

Output
magnetization	0.00	Bohr magnetons per cell
energy relative to the elements, uncorrected	-1384.0	kJ/mol of formula units
DOS(E_F)	0.00	states/eV/cell

No. 5
First-principles (PBE) data for a relaxed K2BaLiI5 crystal, as listed in the Alexandria database.

```
data_K2BaLiI5
_space_group_name_H-M_alt 'C m c 21'
_space_group_IT_number 36
_cell_length_a 4.949
_cell_length_b 21.445
_cell_length_c 15.221
_cell_angle_alpha 90.00
_cell_angle_beta 90.00
_cell_angle_gamma 90.00
loop_
_space_group_symop_operation_xyz
'x,y,z'
'-x,-y,z+1/2'
'-x,y,z'
'x,-y,z+1/2'
'x+1/2,y+1/2,z'
'-x+1/2,-y+1/2,z+1/2'
'-x+1/2,y+1/2,z'
'x+1/2,-y+1/2,z+1/2'
loop_
_atom_site_label
_atom_site_type_symbol
_atom_site_fract_x
_atom_site_fract_y
_atom_site_fract_z
K1 K 0.000 0.100 0.000
K2 K 0.000 0.112 0.666
Ba1 Ba 0.000 0.197 0.357
Li1 Li 0.000 0.448 0.744
I1 I 0.000 0.034 0.332
I2 I 0.000 0.294 0.015
I3 I 0.000 0.319 0.698
I4 I 0.000 0.356 0.336
I5 I 0.000 0.495 0.086
```

Output
magnetization	0.00	Bohr magnetons per cell
energy relative to the elements, uncorrected	-1304.8	kJ/mol of formula units
DOS(E_F)	0.00	states/eV/cell

No. 6
First-principles (PBE) data for a relaxed KBaLiI4 crystal, as listed in the Alexandria database.

```
data_KBaLiI4
_space_group_name_H-M_alt 'P 1 21/m 1'
_space_group_IT_number 11
_cell_length_a 8.000
_cell_length_b 8.149
_cell_length_c 9.801
_cell_angle_alpha 90.00
_cell_angle_beta 107.67
_cell_angle_gamma 90.00
loop_
_space_group_symop_operation_xyz
'x,y,z'
'-x,-y,-z'
'-x,y+1/2,-z'
'x,-y+1/2,z'
loop_
_atom_site_label
_atom_site_type_symbol
_atom_site_fract_x
_atom_site_fract_y
_atom_site_fract_z
K1 K 0.245 0.250 0.438
Ba1 Ba 0.274 0.250 0.944
Li1 Li 0.265 0.750 0.192
I1 I 0.066 0.750 0.372
I2 I 0.070 0.750 0.909
I3 I 0.497 0.503 0.760
```

Output
magnetization	0.00	Bohr magnetons per cell
energy relative to the elements, uncorrected	-1023.4	kJ/mol of formula units
DOS(E_F)	0.00	states/eV/cell

No. 7
First-principles (PBE) data for a relaxed K2BaMgI crystal, as listed in the Alexandria database.

```
data_K2BaMgI
_space_group_name_H-M_alt 'P 4/m m m'
_space_group_IT_number 123
_space_group_name_Hall '-P 4 2'
_cell_length_a 8.120
_cell_length_b 8.120
_cell_length_c 6.747
_cell_angle_alpha 90.00
_cell_angle_beta 90.00
_cell_angle_gamma 90.00
loop_
_atom_site_label
_atom_site_type_symbol
_atom_site_fract_x
_atom_site_fract_y
_atom_site_fract_z
K1 K 0.000 0.500 0.000
Ba1 Ba 0.000 0.000 0.000
Mg1 Mg 0.000 0.000 0.500
I1 I 0.500 0.500 0.500
```

Output
magnetization	1.06	Bohr magnetons per cell
energy relative to the elements, uncorrected	156.9	kJ/mol of formula units
DOS(E_F)	7.12	states/eV/cell

No. 8
First-principles (PBE) data for a relaxed K2BaMnI6 crystal, as listed in the Alexandria database.

```
data_K2BaMnI6
_space_group_name_H-M_alt 'R 3'
_space_group_IT_number 146
_space_group_name_Hall 'R 3'
_cell_length_a 8.5488
_cell_length_b 8.5488
_cell_length_c 21.8883
_cell_angle_alpha 90.00
_cell_angle_beta 90.00
_cell_angle_gamma 120.00
loop_
_atom_site_label
_atom_site_type_symbol
_atom_site_fract_x
_atom_site_fract_y
_atom_site_fract_z
K1 K 0.0000 0.0000 0.0000
K2 K 0.0000 0.0000 0.4964
Ba1 Ba 0.0000 0.0000 0.2081
Mn1 Mn 0.0000 0.0000 0.7052
I1 I 0.0238 0.4093 0.4451
I2 I 0.0798 0.7071 0.2906
```

Output
magnetization	15.00	Bohr magnetons per cell
energy relative to the elements, uncorrected	-1166.9	kJ/mol of formula units
DOS(E_F)	0.00	states/eV/cell

No. 9
First-principles (PBE) data for a relaxed K2BaMoI crystal, as listed in the Alexandria database.

```
data_K2BaMoI
_space_group_name_H-M_alt 'P 4/m m m'
_space_group_IT_number 123
_space_group_name_Hall '-P 4 2'
_cell_length_a 6.797
_cell_length_b 6.797
_cell_length_c 5.216
_cell_angle_alpha 90.00
_cell_angle_beta 90.00
_cell_angle_gamma 90.00
loop_
_atom_site_label
_atom_site_type_symbol
_atom_site_fract_x
_atom_site_fract_y
_atom_site_fract_z
K1 K 0.000 0.500 0.000
Ba1 Ba 0.000 0.000 0.500
Mo1 Mo 0.500 0.500 0.000
I1 I 0.500 0.500 0.500
```

Output
magnetization	2.22	Bohr magnetons per cell
energy relative to the elements, uncorrected	360.2	kJ/mol of formula units
DOS(E_F)	5.44	states/eV/cell

No. 10
First-principles (PBE) data for a relaxed KBaIN2 crystal, as listed in the Alexandria database.

```
data_KBaIN2
_space_group_name_H-M_alt 'P 4/m m m'
_space_group_IT_number 123
_space_group_name_Hall '-P 4 2'
_cell_length_a 5.126
_cell_length_b 5.126
_cell_length_c 6.263
_cell_angle_alpha 90.00
_cell_angle_beta 90.00
_cell_angle_gamma 90.00
loop_
_atom_site_label
_atom_site_type_symbol
_atom_site_fract_x
_atom_site_fract_y
_atom_site_fract_z
K1 K 0.000 0.000 0.000
Ba1 Ba 0.500 0.500 0.500
I1 I 0.000 0.000 0.500
N1 N 0.000 0.500 0.000
```

Output
magnetization	4.00	Bohr magnetons per cell
energy relative to the elements, uncorrected	429.3	kJ/mol of formula units
DOS(E_F)	4.88	states/eV/cell
polymorph energy (0 for the lowest one)	0.353	eV/atom

No. 11
First-principles (PBE) data for a relaxed KBaI2N crystal, as listed in the Alexandria database.

```
data_KBaI2N
_space_group_name_H-M_alt 'P 4/m m m'
_space_group_IT_number 123
_space_group_name_Hall '-P 4 2'
_cell_length_a 6.865
_cell_length_b 6.865
_cell_length_c 5.226
_cell_angle_alpha 90.00
_cell_angle_beta 90.00
_cell_angle_gamma 90.00
loop_
_atom_site_label
_atom_site_type_symbol
_atom_site_fract_x
_atom_site_fract_y
_atom_site_fract_z
K1 K 0.000 0.000 0.000
Ba1 Ba 0.500 0.500 0.500
I1 I 0.000 0.500 0.500
N1 N 0.500 0.500 0.000
```

Output
magnetization	2.00	Bohr magnetons per cell
energy relative to the elements, uncorrected	-241.0	kJ/mol of formula units
DOS(E_F)	2.10	states/eV/cell
polymorph energy (0 for the lowest one)	0.000	eV/atom

No. 12
First-principles (PBE) data for a relaxed KBaIN2 crystal, as listed in the Alexandria database.

```
data_KBaIN2
_space_group_name_H-M_alt 'P 4/m m m'
_space_group_IT_number 123
_space_group_name_Hall '-P 4 2'
_cell_length_a 5.284
_cell_length_b 5.284
_cell_length_c 7.090
_cell_angle_alpha 90.00
_cell_angle_beta 90.00
_cell_angle_gamma 90.00
loop_
_atom_site_label
_atom_site_type_symbol
_atom_site_fract_x
_atom_site_fract_y
_atom_site_fract_z
K1 K 0.000 0.000 0.000
Ba1 Ba 0.500 0.500 0.500
I1 I 0.500 0.500 0.000
N1 N 0.000 0.500 0.500
```

Output
magnetization	4.00	Bohr magnetons per cell
energy relative to the elements, uncorrected	258.9	kJ/mol of formula units
DOS(E_F)	3.04	states/eV/cell
polymorph energy (0 for the lowest one)	0.000	eV/atom